Ba2Al4GeAu3: optimized geometry, PBE.

The structure belongs to space group P-4m2 (No. 115); the cell edges are 4.705, 4.705 and 10.464 Å and the angles 90.00°, 90.00° and 90.00°. The asymmetric unit holds Ba at (0.000, 0.500, 0.245), Al at (0.000, 0.000, 0.500), Al at (0.000, 0.500, 0.876), Al at (0.500, 0.500, 0.500), Ge at (0.500, 0.500, 0.000), Au at (0.000, 0.000, 0.000) and Au at (0.000, 0.500, 0.622).

The total energy is -3.87 eV/atom. For the density, the calculation gives 7499 kg/m3. The calculation puts the total moment at 0.00 Bohr magnetons per cell. The density of states at the Fermi level comes out at 5.51 states/eV per cell.